Run i
DFT (PBE) results for Ca5Mg4 after structural relaxation.

abc: 6.714 6.714 10.288
angles: 121.20 121.20 50.60
Positions (direct):
1 Ca 0.000 0.000 0.000
2 Ca 0.126 0.126 0.444
3 Ca 0.242 0.242 0.877
4 Ca 0.758 0.758 0.123
5 Ca 0.874 0.874 0.556
6 Mg 0.355 0.355 0.345
7 Mg 0.462 0.462 0.772
8 Mg 0.538 0.538 0.228
9 Mg 0.645 0.645 0.655

## Properties
Space group: C2/m, No. 12
M_tot: 0.0000 μB per atom



Run ii
DFT (PBE) results for Ca5Mg4 after structural relaxation.

abc: 9.980 9.980 6.925
angles: 90.00 90.00 120.00
Positions (direct):
1 Ca 0.000 0.296 0.250
2 Ca 0.000 0.704 0.750
3 Ca 0.296 0.000 0.250
4 Ca 0.296 0.296 0.750
5 Ca 0.333 0.667 0.000
6 Ca 0.333 0.667 0.500
7 Ca 0.667 0.333 0.000
8 Ca 0.667 0.333 0.500
9 Ca 0.704 0.000 0.750
10 Ca 0.704 0.704 0.250
11 Mg 0.000 0.000 0.000
12 Mg 0.000 0.000 0.500
13 Mg 0.000 0.365 0.750
14 Mg 0.000 0.635 0.250
15 Mg 0.365 0.000 0.750
16 Mg 0.365 0.365 0.250
17 Mg 0.635 0.000 0.250
18 Mg 0.635 0.635 0.750

## Properties
Space group: P6_3/mcm, No. 193
M_tot: 0.0000 μB per atom



run i takes first place; second place is 28 meV/atom up.



Run i
DFT (PBE) results for Ca4Mg5 after structural relaxation.

abc: 9.742 9.742 6.730
angles: 90.00 90.00 120.00
Positions (direct):
1 Ca 0.000 0.000 0.000
2 Ca 0.000 0.000 0.500
3 Ca 0.000 0.353 0.250
4 Ca 0.000 0.647 0.750
5 Ca 0.353 0.000 0.250
6 Ca 0.353 0.353 0.750
7 Ca 0.647 0.000 0.750
8 Ca 0.647 0.647 0.250
9 Mg 0.000 0.319 0.750
10 Mg 0.000 0.681 0.250
11 Mg 0.319 0.000 0.750
12 Mg 0.319 0.319 0.250
13 Mg 0.333 0.667 0.000
14 Mg 0.333 0.667 0.500
15 Mg 0.667 0.333 0.000
16 Mg 0.667 0.333 0.500
17 Mg 0.681 0.000 0.250
18 Mg 0.681 0.681 0.750

## Properties
Space group: P6_3/mcm, No. 193
M_tot: 0.0000 μB per atom



Run ii
DFT (PBE) results for Ca4Mg5 after structural relaxation.

abc: 7.787 7.787 7.787
angles: 96.22 96.22 141.58
Positions (direct):
1 Ca 0.000 0.313 0.313
2 Ca 0.000 0.687 0.687
3 Ca 0.313 0.000 0.313
4 Ca 0.687 0.000 0.687
5 Mg 0.000 0.000 0.000
6 Mg 0.344 0.344 0.688
7 Mg 0.344 0.656 0.000
8 Mg 0.656 0.344 0.000
9 Mg 0.656 0.656 0.312

## Properties
Space group: I4/mmm, No. 139
M_tot: 0.0000 μB per atom



run ii takes first place; second place is 28 meV/atom up.



Run i
DFT (PBE) results for Ca5Mg after structural relaxation.

abc: 3.966 3.966 14.682
angles: 90.00 90.00 90.00
Positions (direct):
1 Ca 0.000 0.000 0.000
2 Ca 0.000 0.000 0.366
3 Ca 0.000 0.000 0.634
4 Ca 0.500 0.500 0.183
5 Ca 0.500 0.500 0.817
6 Mg 0.500 0.500 0.500

## Properties
Space group: P4/mmm, No. 123
M_tot: 0.0001 μB per atom



Run ii
DFT (PBE) results for Ca5Mg after structural relaxation.

abc: 3.845 3.845 18.344
angles: 90.00 90.00 120.00
Positions (direct):
1 Ca 0.000 0.000 0.000
2 Ca 0.000 0.000 0.353
3 Ca 0.000 0.000 0.647
4 Ca 0.333 0.667 0.177
5 Ca 0.333 0.667 0.823
6 Mg 0.333 0.667 0.500

## Properties
Space group: P-6m2, No. 187
M_tot: 0.0000 μB per atom



run i takes first place; second place is 46 meV/atom up.



Run i
DFT (PBE) results for Ca5Mg after structural relaxation.

abc: 13.489 4.240 8.473
angles: 90.00 107.72 90.00
Positions (direct):
1 Ca 0.000 0.000 0.000
2 Ca 0.016 0.000 0.460
3 Ca 0.164 0.500 0.809
4 Ca 0.313 0.000 0.159
5 Ca 0.329 0.000 0.620
6 Ca 0.500 0.500 0.000
7 Ca 0.516 0.500 0.460
8 Ca 0.664 0.000 0.809
9 Ca 0.813 0.500 0.159
10 Ca 0.829 0.500 0.620
11 Mg 0.164 0.500 0.310
12 Mg 0.664 0.000 0.310

## Properties
Space group: Cm, No. 8
M_tot: 0.0000 μB per atom



Run ii
DFT (PBE) results for Ca5Mg after structural relaxation.

abc: 4.386 17.675 5.904
angles: 90.00 90.00 90.00
Positions (direct):
1 Ca 0.000 0.000 0.000
2 Ca 0.000 0.156 0.500
3 Ca 0.000 0.333 0.000
4 Ca 0.000 0.667 0.000
5 Ca 0.000 0.844 0.500
6 Ca 0.500 0.167 0.000
7 Ca 0.500 0.344 0.500
8 Ca 0.500 0.500 0.000
9 Ca 0.500 0.656 0.500
10 Ca 0.500 0.833 0.000
11 Mg 0.000 0.500 0.500
12 Mg 0.500 0.000 0.500

## Properties
Space group: Cmmm, No. 65
M_tot: 0.0000 μB per atom



Run iii
DFT (PBE) results for Ca5Mg after structural relaxation.

abc: 7.032 7.032 7.032
angles: 60.00 60.00 60.00
Positions (direct):
1 Ca 0.000 0.000 0.000
2 Ca 0.375 0.375 0.375
3 Ca 0.375 0.375 0.874
4 Ca 0.375 0.874 0.375
5 Ca 0.874 0.375 0.375
6 Mg 0.750 0.750 0.750

## Properties
Space group: F-43m, No. 216
M_tot: 0.0000 μB per atom



Run iv
DFT (PBE) results for Ca5Mg after structural relaxation.

abc: 6.968 6.968 6.345
angles: 90.00 90.00 120.00
Positions (direct):
1 Ca 0.000 0.500 0.000
2 Ca 0.333 0.667 0.500
3 Ca 0.500 0.000 0.000
4 Ca 0.500 0.500 0.000
5 Ca 0.667 0.333 0.500
6 Mg 0.000 0.000 0.500

## Properties
Space group: P6/mmm, No. 191
M_tot: 0.0004 μB per atom



run i takes first place; second place is 16 meV/atom up.



Run i
DFT (PBE) results for Ca5Mg after structural relaxation.

abc: 5.367 5.343 15.952
angles: 90.00 90.00 90.00
Positions (direct):
1 Ca 0.000 0.000 0.000
2 Ca 0.000 0.000 0.318
3 Ca 0.000 0.500 0.500
4 Ca 0.000 0.500 0.818
5 Ca 0.500 0.000 0.159
6 Ca 0.500 0.000 0.497
7 Ca 0.500 0.000 0.821
8 Ca 0.500 0.500 0.321
9 Ca 0.500 0.500 0.659
10 Ca 0.500 0.500 0.997
11 Mg 0.000 0.000 0.659
12 Mg 0.000 0.500 0.159

## Properties
Space group: Amm2, No. 38
M_tot: 0.0000 μB per atom



Run ii
DFT (PBE) results for Ca5Mg after structural relaxation.

abc: 6.556 6.556 6.156
angles: 90.00 90.00 120.00
Positions (direct):
1 Ca 0.000 0.678 0.000
2 Ca 0.322 0.322 0.000
3 Ca 0.333 0.667 0.500
4 Ca 0.667 0.333 0.500
5 Ca 0.678 0.000 0.000
6 Mg 0.000 0.000 0.500

## Properties
Space group: P-62m, No. 189
M_tot: 0.0000 μB per atom



run i takes first place; second place is 10 meV/atom up.



Run i
DFT (PBE) results for Ca4Mg3 after structural relaxation.

abc: 6.347 6.347 6.666
angles: 90.00 90.00 120.00
Positions (direct):
1 Ca 0.000 0.000 0.245
2 Ca 0.000 0.000 0.755
3 Ca 0.333 0.667 0.500
4 Ca 0.667 0.333 0.500
5 Mg 0.000 0.500 0.000
6 Mg 0.500 0.000 0.000
7 Mg 0.500 0.500 0.000

## Properties
Space group: P6/mmm, No. 191
M_tot: 0.0000 μB per atom



Run ii
DFT (PBE) results for Ca4Mg3 after structural relaxation.

abc: 8.989 8.989 8.989
angles: 113.50 113.50 113.50
Positions (direct):
1 Ca 0.000 0.000 0.000
2 Ca 0.075 0.628 0.775
3 Ca 0.225 0.925 0.372
4 Ca 0.372 0.225 0.925
5 Ca 0.500 0.500 0.500
6 Ca 0.628 0.775 0.075
7 Ca 0.775 0.075 0.628
8 Ca 0.925 0.372 0.225
9 Mg 0.138 0.272 0.555
10 Mg 0.272 0.555 0.138
11 Mg 0.445 0.862 0.728
12 Mg 0.555 0.138 0.272
13 Mg 0.728 0.445 0.862
14 Mg 0.862 0.728 0.445

## Properties
Space group: R-3, No. 148
M_tot: 0.0000 μB per atom



run ii takes first place; second place is 23 meV/atom up.